No. 1
A plane-wave DFT calculation with meta-GGA SCAN was carried out for a PBEsol-optimized structure of HgSeF2.

Unit cell a=6.7452 b=6.7452 c=5.5000 alpha=90.00 beta=90.00 gamma=90.00
Space group I-42d (No. 122)
Inequivalent atoms, fractional coordinates:
Hg  0.0000  0.0000  0.0000 (multiplicity 4)
Se  0.0000  0.0000  0.5000 (multiplicity 4)
F  0.2341  0.2500  0.1250 (multiplicity 8)

Values from the calculation:
Raw total energy ... -389.72 eV/cell


No. 2
A plane-wave DFT calculation with meta-GGA SCAN was carried out for a PBEsol-optimized structure of HgSeF3.

Unit cell a=4.4783 b=4.4783 c=4.4783 alpha=90.00 beta=90.00 gamma=90.00
Space group Pm-3m (No. 221)
Inequivalent atoms, fractional coordinates:
Hg  0.0000  0.0000  0.0000 (multiplicity 1)
Se  0.5000  0.5000  0.5000 (multiplicity 1)
F  0.0000  0.0000  0.5000 (multiplicity 3)

Values from the calculation:
Raw total energy ... -102.35 eV/cell


No. 3
A plane-wave DFT calculation with meta-GGA SCAN was carried out for a PBEsol-optimized structure of YHgSeF2.

Unit cell a=4.2810 b=4.2810 c=5.7321 alpha=90.00 beta=90.00 gamma=90.00
Space group P4/mmm (No. 123)
Inequivalent atoms, fractional coordinates:
Y  0.0000  0.0000  0.0000 (multiplicity 1)
Hg  0.5000  0.5000  0.5000 (multiplicity 1)
Se  0.0000  0.0000  0.5000 (multiplicity 1)
F  0.0000  0.5000  0.0000 (multiplicity 2)

Values from the calculation:
Raw total energy ... -136.24 eV/cell


No. 4
A plane-wave DFT calculation with meta-GGA SCAN was carried out for a PBEsol-optimized structure of Si2HgF2.

Unit cell a=8.0568 b=8.0568 c=2.5782 alpha=90.00 beta=90.00 gamma=90.00
Space group P4/mbm (No. 127)
Inequivalent atoms, fractional coordinates:
Si  0.2452  0.2548  0.0000 (multiplicity 4)
Hg  0.0000  0.0000  0.5000 (multiplicity 2)
F  0.1172  0.3828  0.5000 (multiplicity 4)

Values from the calculation:
Raw total energy ... -196.98 eV/cell


No. 5
A plane-wave DFT calculation with meta-GGA SCAN was carried out for a PBEsol-optimized structure of SiHgF2.

Unit cell a=2.8123 b=2.8123 c=25.6439 alpha=90.00 beta=90.00 gamma=120.00
Space group R-3m (No. 166, hexagonal axes)
Inequivalent atoms, fractional coordinates:
Si  0.0000  0.0000  0.0000 (multiplicity 3)
Hg  0.0000  0.0000  0.5000 (multiplicity 3)
F  0.0000  0.0000  0.0651 (multiplicity 6)

Values from the calculation:
Raw total energy ... -274.23 eV/cell


No. 6
A plane-wave DFT calculation with meta-GGA SCAN was carried out for a PBEsol-optimized structure of Sr2HgF2.

Unit cell a=4.0551 b=4.0551 c=13.7229 alpha=90.00 beta=90.00 gamma=90.00
Space group I4/mmm (No. 139)
Inequivalent atoms, fractional coordinates:
Sr  0.0000  0.0000  0.1469 (multiplicity 4)
Hg  0.0000  0.0000  0.5000 (multiplicity 2)
F  0.0000  0.5000  0.2500 (multiplicity 4)

Values from the calculation:
Raw total energy ... -266.72 eV/cell


No. 7
A plane-wave DFT calculation with meta-GGA SCAN was carried out for a PBEsol-optimized structure of Ta2Hg2F11.

Unit cell a=22.9856 b=7.5363 c=14.5420 alpha=90.00 beta=126.03 gamma=90.00
Space group C2/c (No. 15)
Inequivalent atoms, fractional coordinates:
Ta  0.1050  0.1943  0.1315 (multiplicity 8)
Ta  0.1522  0.2305  0.5234 (multiplicity 8)
Hg  0.0680  0.2555  0.7887 (multiplicity 8)
Hg  0.2081  0.2610  0.8781 (multiplicity 8)
F  0.0287  0.2729  0.9854 (multiplicity 8)
F  0.0438  0.0574  0.1496 (multiplicity 8)
F  0.0637  0.3517  0.4331 (multiplicity 8)
F  0.0998  0.0282  0.5422 (multiplicity 8)
F  0.1077  0.3900  0.2115 (multiplicity 8)
F  0.1274  0.0942  0.3953 (multiplicity 8)
F  0.1661  0.3194  0.6572 (multiplicity 8)
F  0.1704  0.2814  0.0997 (multiplicity 8)
F  0.1852  0.0728  0.2566 (multiplicity 8)
F  0.2025  0.4054  0.5064 (multiplicity 8)
F  0.2348  0.0827  0.6162 (multiplicity 8)

Values from the calculation:
Raw total energy ... -2813.37 eV/cell


No. 8
A plane-wave DFT calculation with meta-GGA SCAN was carried out for a PBEsol-optimized structure of TcHg3F.

Unit cell a=4.5996 b=4.5996 c=4.5996 alpha=90.00 beta=90.00 gamma=90.00
Space group Pm-3m (No. 221)
Inequivalent atoms, fractional coordinates:
Tc  0.0000  0.0000  0.0000 (multiplicity 1)
Hg  0.0000  0.5000  0.5000 (multiplicity 3)
F  0.5000  0.5000  0.5000 (multiplicity 1)

Values from the calculation:
Raw total energy ... -239.90 eV/cell


No. 9
A plane-wave DFT calculation with meta-GGA SCAN was carried out for a PBEsol-optimized structure of HgTe2F.

Unit cell a=3.2411 b=3.2411 c=29.0312 alpha=90.00 beta=90.00 gamma=120.00
Space group R-3m (No. 166, hexagonal axes)
Inequivalent atoms, fractional coordinates:
Hg  0.0000  0.0000  0.0000 (multiplicity 3)
Te  0.0000  0.0000  0.0958 (multiplicity 6)
F  0.0000  0.0000  0.5000 (multiplicity 3)

Values from the calculation:
Raw total energy ... -443.17 eV/cell


No. 10
A plane-wave DFT calculation with meta-GGA SCAN was carried out for a PBEsol-optimized structure of HgTeWF2.

Unit cell a=4.0709 b=4.0709 c=5.7378 alpha=90.00 beta=90.00 gamma=90.00
Space group P4/mmm (No. 123)
Inequivalent atoms, fractional coordinates:
Hg  0.0000  0.0000  0.0000 (multiplicity 1)
Te  0.5000  0.5000  0.0000 (multiplicity 1)
W  0.0000  0.0000  0.5000 (multiplicity 1)
F  0.0000  0.5000  0.5000 (multiplicity 2)

Values from the calculation:
Raw total energy ... -185.50 eV/cell


No. 11
A plane-wave DFT calculation with meta-GGA SCAN was carried out for a PBEsol-optimized structure of YTi2HgF.

Unit cell a=4.1891 b=4.1891 c=5.2672 alpha=90.00 beta=90.00 gamma=90.00
Space group P4/mmm (No. 123)
Inequivalent atoms, fractional coordinates:
Y  0.0000  0.0000  0.0000 (multiplicity 1)
Ti  0.0000  0.5000  0.5000 (multiplicity 2)
Hg  0.5000  0.5000  0.0000 (multiplicity 1)
F  0.5000  0.5000  0.5000 (multiplicity 1)

Values from the calculation:
Raw total energy ... -135.24 eV/cell


No. 12
A plane-wave DFT calculation with meta-GGA SCAN was carried out for a PBEsol-optimized structure of TlHgF2.

Unit cell a=6.4547 b=6.4547 c=6.4547 alpha=90.00 beta=90.00 gamma=90.00
Space group Fm-3m (No. 225)
Inequivalent atoms, fractional coordinates:
Tl  0.0000  0.0000  0.0000 (multiplicity 4)
Hg  0.0000  0.0000  0.5000 (multiplicity 4)
F  0.2500  0.2500  0.2500 (multiplicity 8)

Values from the calculation:
Raw total energy ... -609.19 eV/cell


Record order is preserved below.
Energy relative to the elements, uncorrected: -2.10, -3.49, -13.07, -3.21, -6.15, -13.56, -43.23, 3.20, -1.51, -3.32, -3.63, -4.69 eV/f.u.